## Be2S (PBE)

Data for Be2S after structural relaxation.

volume	13.5	Å³ per atom
total energy	-4.15	eV per atom
spin magnetization	0.000	μB per atom
polymorph energy (0 for the lowest one)	0.1582	eV/atom

a = 5.626 Å, b = 7.986 Å, c = 3.897 Å
α = 90.00°, β = 111.92°, γ = 90.00°
Space group C2/c (No. 15)
One atom of each set of equivalent atoms:
Be  0.117  0.103  0.060
S  0.000  0.325  0.750